Entry 1:
DFT (GGA-PBE) results for crystalline Sr2YRh at its relaxed geometry.

Results
Calculated total energy in eV/atom: -4.435
Space-group type: Cmmm
DFT formation energy in eV per atom: -0.141

a b c (Å): 5.4059 14.0455 4.2266
angles (deg): 90.00 90.00 90.00
Positions (direct):
Sr  0.0000  0.1458  0.0000
Sr  0.0000  0.8542  0.0000
Sr  0.5000  0.3542  0.0000
Sr  0.5000  0.6458  0.0000
Y  0.0000  0.5000  0.5000
Y  0.5000  0.0000  0.5000
Rh  0.0000  0.0000  0.5000
Rh  0.5000  0.5000  0.5000

Entry 2:
DFT (GGA-PBE) results for crystalline SrYRh at its relaxed geometry.

Results
Calculated total energy in eV/atom: -5.569
Space-group type: C2/m
DFT formation energy in eV per atom: -0.403

a b c (Å): 10.8966 10.8966 7.6225
angles (deg): 92.19 92.19 26.49
Positions (direct):
Sr  0.0766  0.0766  0.3128
Sr  0.4109  0.4109  0.1636
Sr  0.5891  0.5891  0.8364
Sr  0.9234  0.9234  0.6872
Y  0.2100  0.2100  0.6139
Y  0.2316  0.2316  0.1300
Y  0.7684  0.7684  0.8700
Y  0.7900  0.7900  0.3861
Rh  0.3201  0.3201  0.8396
Rh  0.3334  0.3334  0.4866
Rh  0.6666  0.6666  0.5134
Rh  0.6799  0.6799  0.1604